1.
A plane-wave DFT calculation with PBE was carried out for an optimized crystal structure of Sm2PuRh2.

Cell lengths 10.5496, 5.9117, 7.8163 Å; angles 90.00, 102.55, 90.00 degrees
Space group C2/c (No. 15)
One atom of each set of equivalent atoms:
Sm 0.1513 0.1279 0.1505 (multiplicity 8)
Pu 0.0000 0.3695 0.7500 (multiplicity 4)
Rh 0.1380 0.3659 0.5059 (multiplicity 8)

=====

2.
A plane-wave DFT calculation with PBE was carried out for an optimized crystal structure of YW4.

Cell lengths 3.2365, 3.2365, 17.4345 Å; angles 90.00, 90.00, 90.00 degrees
Space group I4/mmm (No. 139)
One atom of each set of equivalent atoms:
Y 0.0000 0.0000 0.0000 (multiplicity 2)
W 0.0000 0.0000 0.2016 (multiplicity 4)
W 0.0000 0.0000 0.3800 (multiplicity 4)

=====

3.
A plane-wave DFT calculation with PBE was carried out for an optimized crystal structure of Pm4ErHg5.

Cell lengths 3.7795, 3.7795, 19.0311 Å; angles 90.00, 90.00, 90.00 degrees
Space group P4/mmm (No. 123)
One atom of each set of equivalent atoms:
Pm 0.0000 0.0000 0.1013 (multiplicity 2)
Pm 0.0000 0.0000 0.3037 (multiplicity 2)
Er 0.0000 0.0000 0.5000 (multiplicity 1)
Hg 0.5000 0.5000 0.0000 (multiplicity 1)
Hg 0.5000 0.5000 0.2021 (multiplicity 2)
Hg 0.5000 0.5000 0.4082 (multiplicity 2)

=====

4.
A plane-wave DFT calculation with PBE was carried out for an optimized crystal structure of Nd2ZnInPt6.

Cell lengths 5.6184, 5.6184, 25.1484 Å; angles 90.00, 90.00, 120.00 degrees
Space group R-3m (No. 166, hexagonal axes)
One atom of each set of equivalent atoms:
Nd 0.0000 0.0000 0.2011 (multiplicity 6)
Zn 0.0000 0.0000 0.5000 (multiplicity 3)
In 0.0000 0.0000 0.0000 (multiplicity 3)
Pt 0.9995 0.4998 0.2446 (multiplicity 18)

=====

| no. | density (Mg/m³) | uncorrected energy (eV/atom) | DFT formation energy (eV per atom) |
| --- | --- | --- | --- |
| 1 | 10.48 | -8.262 | -0.567 |
| 2 | 14.99 | -11.359 | 0.296 |
| 3 | 10.69 | -2.981 | -0.473 |
| 4 | 11.88 | -5.689 | -0.710 |